[1]
## BePbNO2 (GGA-PBE)

Data for an optimized crystal structure of BePbNO2.

Results
The total moment is 0.94 μB per cell. The uncorrected formation energy is 502.3 kJ/mol of formula units. The value obtained for the total DFT energy (no corrections) is -4.09 eV/atom. Its space group is P4/mmm, No. 123.

The structure in POSCAR format:
```
BePbNO2
1.0
4.107 0.000 0.000
0.000 4.107 0.000
0.000 0.000 4.319
Be Pb N O
1 1 1 2
Cartesian
0.000 0.000 0.000
2.053 2.053 2.160
2.053 2.053 0.000
0.000 2.053 2.160
2.053 0.000 2.160
```

---

[2]
## KMg2As (GGA-PBE)

Data for an optimized crystal structure of KMg2As.

Results
The total moment is 0.00 μB per cell. The value obtained for the total DFT energy (no corrections) is -2.40 eV/atom. The calculation puts the calculated formation energy at -167 meV/atom. Its space group is R-3m, No. 166.

The structure in POSCAR format:
```
KMg2As
1.0
2.135 1.232 8.381
-2.135 1.232 8.381
0.000 -2.465 8.381
K Mg As
1 2 1
Cartesian
0.000 0.000 0.000
0.000 0.000 5.347
0.000 0.000 19.795
0.000 0.000 12.571
```

---

[3]
## Zn5CuN4 (GGA-PBE)

Data for an optimized crystal structure of Zn5CuN4.

Results
The total moment is 0.05 μB per cell. The uncorrected formation energy is 290.4 kJ/mol of formula units. The value obtained for the total DFT energy (no corrections) is -4.08 eV/atom. Its space group is Pmmn, No. 59.

The structure in POSCAR format:
```
Zn5CuN4
1.0
6.318 0.000 0.000
0.000 7.659 0.000
0.000 0.000 5.091
Zn Cu N
10 2 8
Cartesian
0.030 0.536 1.204
0.030 3.293 1.204
1.579 1.915 3.875
3.129 0.536 1.204
3.129 3.293 1.204
3.189 4.366 3.887
3.189 7.123 3.887
4.738 5.744 1.215
6.288 4.366 3.887
6.288 7.123 3.887
1.579 5.744 1.405
4.738 1.915 3.686
0.003 1.915 2.601
1.579 0.113 4.995
1.579 3.716 4.995
3.156 1.915 2.601
3.162 5.744 2.490
4.738 3.942 0.095
4.738 7.546 0.095
6.315 5.744 2.490
```